Entry 1:
# ErP3O9

ErP3O9 after structural relaxation (PBE, the Alexandria database).

Cell: 6.938 6.938 7.193 Å, 90.00 90.00 105.00°
Fractional coordinates of all 26 atoms:
P 0.165 0.808 0.042
P 0.251 0.251 0.000
P 0.749 0.749 0.500
P 0.192 0.835 0.458
P 0.835 0.192 0.542
P 0.808 0.165 0.958
O 0.671 0.294 0.529
O 0.368 0.329 0.174
O 0.294 0.671 0.471
O 0.329 0.706 0.029
O 0.710 0.965 0.037
O 0.870 0.130 0.750
O 0.329 0.368 0.826
O 0.035 0.290 0.463
O 0.026 0.248 0.049
O 0.752 0.974 0.451
O 0.974 0.752 0.549
O 0.706 0.329 0.971
O 0.290 0.035 0.537
O 0.632 0.671 0.674
O 0.671 0.632 0.326
O 0.965 0.710 0.963
O 0.248 0.026 0.951
O 0.130 0.870 0.250
Er 0.626 0.626 0.000
Er 0.374 0.374 0.500

Summary:
- V (Å³/atom) = 12.863
- energy above the most stable polymorph in this dataset (eV per formula unit) = 0.46
- formation energy (no corrections) (eV per atom) = -2.508

Entry 2:
# ErP3O9

ErP3O9 after structural relaxation (PBE, the Alexandria database).

Cell: 20.301 10.189 11.445 Å, 82.24 90.00 90.00°
Fractional coordinates of all 156 atoms:
O 0.418 0.481 0.874
O 0.781 0.526 0.840
O 0.018 0.806 0.105
O 0.243 0.597 0.631
O 0.909 0.286 0.724
O 0.398 0.924 0.394
O 0.268 0.731 0.798
O 0.804 0.679 0.409
O 0.434 0.451 0.654
O 0.037 0.208 0.457
O 0.566 0.549 0.346
O 0.996 0.637 0.728
O 0.496 0.863 0.272
O 0.982 0.194 0.895
O 0.537 0.292 0.543
O 0.910 0.460 0.380
O 0.838 0.259 0.556
O 0.641 0.375 0.290
O 0.315 0.229 0.957
O 0.696 0.179 0.409
O 0.909 0.462 0.156
O 0.719 0.026 0.840
O 0.409 0.038 0.844
O 0.591 0.962 0.156
O 0.090 0.540 0.620
O 0.484 0.887 0.746
O 0.004 0.363 0.272
O 0.671 0.621 0.241
O 0.189 0.131 0.166
O 0.757 0.403 0.369
O 0.898 0.576 0.606
O 0.591 0.786 0.724
O 0.260 0.933 0.903
O 0.568 0.412 0.876
O 0.754 0.966 0.639
O 0.602 0.076 0.606
O 0.075 0.921 0.381
O 0.689 0.369 0.834
O 0.432 0.588 0.124
O 0.685 0.771 0.043
O 0.171 0.879 0.759
O 0.743 0.903 0.369
O 0.925 0.079 0.619
O 0.516 0.113 0.254
O 0.281 0.974 0.160
O 0.621 0.189 0.944
O 0.673 0.609 0.752
O 0.409 0.214 0.276
O 0.254 0.534 0.361
O 0.394 0.733 0.276
O 0.329 0.379 0.759
O 0.760 0.567 0.097
O 0.106 0.233 0.276
O 0.768 0.769 0.202
O 0.662 0.759 0.556
O 0.102 0.424 0.394
O 0.463 0.708 0.457
O 0.091 0.538 0.844
O 0.016 0.387 0.746
O 0.076 0.582 0.110
O 0.219 0.474 0.160
O 0.746 0.466 0.639
O 0.240 0.433 0.903
O 0.162 0.741 0.444
O 0.232 0.231 0.798
O 0.091 0.714 0.276
O 0.934 0.049 0.346
O 0.379 0.811 0.056
O 0.173 0.891 0.248
O 0.829 0.121 0.241
O 0.859 0.875 0.290
O 0.068 0.088 0.124
O 0.576 0.918 0.890
O 0.311 0.631 0.166
O 0.257 0.097 0.631
O 0.482 0.306 0.105
O 0.879 0.689 0.944
O 0.066 0.951 0.654
O 0.827 0.109 0.752
O 0.424 0.082 0.110
O 0.196 0.321 0.591
O 0.425 0.421 0.381
O 0.811 0.869 0.834
O 0.246 0.034 0.361
O 0.984 0.613 0.254
O 0.338 0.241 0.444
O 0.504 0.137 0.728
O 0.732 0.269 0.202
O 0.185 0.729 0.957
O 0.304 0.821 0.591
O 0.815 0.271 0.043
O 0.590 0.960 0.380
O 0.582 0.519 0.126
O 0.924 0.418 0.890
O 0.932 0.912 0.876
O 0.518 0.694 0.895
O 0.963 0.792 0.543
O 0.082 0.981 0.874
O 0.918 0.019 0.126
O 0.740 0.067 0.097
O 0.575 0.579 0.619
O 0.121 0.311 0.056
O 0.410 0.040 0.620
O 0.359 0.625 0.710
O 0.141 0.125 0.710
O 0.327 0.391 0.248
O 0.606 0.267 0.724
O 0.894 0.767 0.724
P 0.123 0.822 0.348
P 0.779 0.178 0.135
P 0.946 0.473 0.266
P 0.543 0.818 0.826
P 0.773 0.993 0.760
P 0.377 0.322 0.348
P 0.221 0.822 0.865
P 0.617 0.308 0.852
P 0.437 0.810 0.361
P 0.290 0.696 0.672
P 0.390 0.482 0.752
P 0.383 0.692 0.148
P 0.446 0.027 0.734
P 0.043 0.682 0.174
P 0.279 0.322 0.865
P 0.554 0.973 0.266
P 0.457 0.182 0.174
P 0.721 0.678 0.135
P 0.117 0.192 0.148
P 0.727 0.493 0.760
P 0.227 0.007 0.240
P 0.710 0.304 0.328
P 0.623 0.678 0.652
P 0.890 0.018 0.248
P 0.610 0.518 0.248
P 0.937 0.690 0.639
P 0.110 0.982 0.752
P 0.957 0.318 0.826
P 0.877 0.178 0.652
P 0.790 0.804 0.328
P 0.273 0.507 0.240
P 0.210 0.196 0.672
P 0.883 0.808 0.852
P 0.063 0.310 0.361
P 0.054 0.527 0.734
P 0.563 0.190 0.639
Er 0.175 0.524 0.502
Er 0.156 0.515 0.000
Er 0.675 0.976 0.498
Er 0.825 0.476 0.498
Er 0.000 0.000 0.000
Er 0.344 0.015 0.000
Er 0.500 0.500 0.500
Er 0.325 0.024 0.502
Er 0.844 0.485 0.000
Er 0.000 0.000 0.500
Er 0.500 0.500 0.000
Er 0.656 0.985 0.000

Summary:
- V (Å³/atom) = 15.036
- energy above the most stable polymorph in this dataset (eV per formula unit) = 0.04
- formation energy (no corrections) (eV per atom) = -2.539

Entry 3:
# ErPO

ErPO after structural relaxation (PBE, the Alexandria database).

Cell: 3.356 3.348 7.583 Å, 90.00 90.53 90.00°
Fractional coordinates of all 6 atoms:
O 0.251 0.750 0.117
O 0.749 0.250 0.883
Er 0.755 0.250 0.183
Er 0.245 0.750 0.817
P 0.735 0.750 0.500
P 0.265 0.250 0.500

Summary:
- V (Å³/atom) = 14.201
- formation energy (no corrections) (eV per atom) = -2.293

Entry 4:
# Er6PO12

Er6PO12 after structural relaxation (PBE, the Alexandria database).

Cell: 6.311 6.311 6.311 Å, 98.72 98.72 98.72°
Site moments in Bohr magnetons follow the coordinates.
Fractional coordinates of all 19 atoms:
Er 0.392 0.697 0.859  0.00
Er 0.141 0.608 0.303  0.00
Er 0.859 0.392 0.697  0.00
Er 0.303 0.141 0.608  0.00
Er 0.608 0.303 0.141  0.00
Er 0.697 0.859 0.392  0.00
O 0.975 0.276 0.066  0.10
O 0.724 0.934 0.025  0.10
O 0.595 0.177 0.439  0.05
O 0.934 0.025 0.724  0.10
O 0.405 0.823 0.561  0.05
O 0.823 0.561 0.405  0.05
O 0.066 0.975 0.276  0.10
O 0.439 0.595 0.177  0.05
O 0.025 0.724 0.934  0.10
O 0.177 0.439 0.595  0.05
O 0.561 0.405 0.823  0.05
O 0.276 0.066 0.975  0.10
P 0.000 0.000 0.000  -0.01

Summary:
- V (Å³/atom) = 12.719
- formation energy (no corrections) (eV per atom) = -3.181

Number 1: Fermi-level density of states 0.0 states/eV/f.u.. Number 2: Fermi-level density of states 0.0 states/eV/f.u.. Number 3: Fermi-level density of states 0.1 states/eV/f.u.. Number 4: Fermi-level density of states 14.5 states/eV/f.u..